RbTmPb: optimized geometry, PBE.

abc: 4.2514 4.2514 14.7620
angles: 98.28 98.28 90.00
Closest atoms and distances in Å follow each position.
Sites, in units of the cell vectors:
Rb1 0.5832 0.5832 0.1663  1 Tm 3.79, 4 Pb 4.03
Rb2 0.4168 0.4168 0.8337  1 Tm 3.79, 4 Pb 4.03
Pb1 0.1759 0.1759 0.3519  5 Tm 3.17-3.20
Pb2 0.8241 0.8241 0.6481  5 Tm 3.17-3.20
Tm1 0.2857 0.2857 0.5714  5 Pb 3.17-3.20
Tm2 0.7143 0.7143 0.4286  5 Pb 3.17-3.20

Values from the calculation:
The energy above the most stable polymorph in this dataset comes out at 0.0 meV/atom. The final energy comes out at -19.518 eV for the cell shown.


KPtW2: optimized geometry, PBE.

abc: 6.4349 6.4349 5.1027
angles: 66.66 66.66 24.02
Closest atoms and distances in Å follow each position.
Sites, in units of the cell vectors:
W1 0.5428 0.5428 0.4570  2 W 2.68, 2 Pt 2.73
W2 0.9572 0.9572 0.0430  2 W 2.68, 2 Pt 2.73
K1 0.7500 0.7500 0.7500  2 K 2.68, 4 Pt 2.88
Pt1 0.2500 0.2500 0.2500  2 Pt 2.68, 4 W 2.73, 4 K 2.88

Values from the calculation:
The energy above the most stable polymorph in this dataset comes out at 195.3 meV/atom. The final energy comes out at -30.211 eV for the cell shown.


LaMnSb2I: optimized geometry, PBE.

abc: 6.1315 6.1315 6.1395
angles: 90.00 90.00 90.00
Closest atoms and distances in Å follow each position.
Sites, in units of the cell vectors:
La1 0.0000 0.0000 0.0000  4 Sb 3.07, 2 I 3.07
Sb1 0.0000 0.5000 0.0000  2 La 3.07
Sb2 0.5000 0.0000 0.0000  2 La 3.07
Mn1 0.5000 0.5000 0.5000  4 I 4.34, 8 Sb 4.34
I1 0.0000 0.0000 0.5000  2 La 3.07

Values from the calculation:
The energy above the most stable polymorph in this dataset comes out at 764.3 meV/atom. The value obtained for the raw formation energy is 0.519 eV/atom. The final energy comes out at -21.299 eV for the cell shown.